Record 1
Density functional theory data (PBE) for an optimized crystal structure of AgBrF.

Computed properties:
SG: P-1
VASP energy, eV per formula unit: -8.440
Crystal system: triclinic
E above lowest polymorph, meV/atom: 0
Magnetization, μB/atom: 0.000
Uncorrected formation energy, eV/atom: -0.68

a b c (Å): 4.2455 4.2459 7.8621
angles (deg): 81.80 81.96 88.90
Fractional positions:
1 Ag 0.0000 0.0000 0.0000
2 Ag 0.5000 0.5000 0.5000
3 Br 0.0271 0.4729 0.7499
4 Br 0.9729 0.5271 0.2501
5 F 0.5000 0.0000 0.0000
6 F 0.5000 0.0000 0.5000

***

Record 2
Density functional theory data (PBE) for an optimized crystal structure of Ag8BrF6.

Computed properties:
SG: R-3
VASP energy, eV per formula unit: -47.681
Crystal system: trigonal
Magnetization, μB/atom: 0.000
Uncorrected formation energy, eV/atom: -0.80

a b c (Å): 6.3469 6.3469 6.3469
angles (deg): 84.44 84.44 84.44
Fractional positions:
1 Ag 0.0881 0.3690 0.6756
2 Ag 0.2478 0.2478 0.2478
3 Ag 0.3244 0.9119 0.6310
4 Ag 0.3690 0.6756 0.0881
5 Ag 0.6310 0.3244 0.9119
6 Ag 0.6756 0.0881 0.3690
7 Ag 0.7522 0.7522 0.7522
8 Ag 0.9119 0.6310 0.3244
9 Br 0.5000 0.5000 0.5000
10 F 0.1064 0.6729 0.8593
11 F 0.1407 0.8936 0.3271
12 F 0.3271 0.1407 0.8936
13 F 0.6729 0.8593 0.1064
14 F 0.8593 0.1064 0.6729
15 F 0.8936 0.3271 0.1407

***

Record 3
Density functional theory data (PBE) for an optimized crystal structure of AgBr3F12.

Computed properties:
SG: R3c
VASP energy, eV per formula unit: -45.194
Crystal system: trigonal
Magnetization, μB/atom: 0.132
Uncorrected formation energy, eV/atom: -0.93

a b c (Å): 8.5892 8.5892 8.5892
angles (deg): 82.24 82.24 82.24
Fractional positions:
1 Ag 0.0000 0.0000 0.0000
2 Ag 0.5000 0.5000 0.5000
3 Br 0.1255 0.7493 0.3739
4 Br 0.2493 0.6255 0.8739
5 Br 0.3739 0.1255 0.7493
6 Br 0.6255 0.8739 0.2493
7 Br 0.7493 0.3739 0.1255
8 Br 0.8739 0.2493 0.6255
9 F 0.0274 0.9440 0.2705
10 F 0.0384 0.2484 0.4619
11 F 0.0543 0.7302 0.9698
12 F 0.2058 0.2919 0.7502
13 F 0.2302 0.5543 0.4698
14 F 0.2484 0.4619 0.0384
15 F 0.2502 0.7919 0.7058
16 F 0.2705 0.0274 0.9440
17 F 0.2919 0.7502 0.2058
18 F 0.4440 0.5274 0.7705
19 F 0.4619 0.0384 0.2484
20 F 0.4698 0.2302 0.5543
21 F 0.5274 0.7705 0.4440
22 F 0.5384 0.9619 0.7484
23 F 0.5543 0.4698 0.2302
24 F 0.7058 0.2502 0.7919
25 F 0.7302 0.9698 0.0543
26 F 0.7484 0.5384 0.9619
27 F 0.7502 0.2058 0.2919
28 F 0.7705 0.4440 0.5274
29 F 0.7919 0.7058 0.2502
30 F 0.9440 0.2705 0.0274
31 F 0.9619 0.7484 0.5384
32 F 0.9698 0.0543 0.7302

***

Record 4
Density functional theory data (PBE) for an optimized crystal structure of Ag2BrF.

Computed properties:
SG: I-42d
VASP energy, eV per formula unit: -11.737
Crystal system: tetragonal
E above lowest polymorph, meV/atom: 22
Magnetization, μB/atom: 0.000
Uncorrected formation energy, eV/atom: -0.62

a b c (Å): 7.6606 7.6606 7.6606
angles (deg): 138.54 138.54 60.08
Fractional positions:
1 Ag 0.0658 0.6250 0.9408
2 Ag 0.3750 0.3158 0.4408
3 Ag 0.6842 0.1250 0.0592
4 Ag 0.8750 0.9342 0.5592
5 Br 0.2500 0.7500 0.5000
6 Br 0.5000 0.5000 0.0000
7 F 0.0000 0.0000 0.0000
8 F 0.7500 0.2500 0.5000

***

Record 5
Density functional theory data (PBE) for an optimized crystal structure of Ag6Br5F2.

Computed properties:
SG: Pbam
VASP energy, eV per formula unit: -35.609
Crystal system: orthorhombic
Magnetization, μB/atom: 0.000
Uncorrected formation energy, eV/atom: -0.49

a b c (Å): 11.4939 14.1239 3.8920
angles (deg): 90.00 90.00 90.00
Fractional positions:
1 Ag 0.0699 0.1595 0.0000
2 Ag 0.0943 0.6371 0.0000
3 Ag 0.2019 0.3950 0.5000
4 Ag 0.2981 0.8950 0.5000
5 Ag 0.4057 0.1371 0.0000
6 Ag 0.4301 0.6595 0.0000
7 Ag 0.5699 0.3405 0.0000
8 Ag 0.5943 0.8629 0.0000
9 Ag 0.7019 0.1050 0.5000
10 Ag 0.7981 0.6050 0.5000
11 Ag 0.9057 0.3629 0.0000
12 Ag 0.9301 0.8405 0.0000
13 Br 0.0000 0.5000 0.5000
14 Br 0.0985 0.7913 0.5000
15 Br 0.1947 0.0695 0.5000
16 Br 0.3053 0.5695 0.5000
17 Br 0.4015 0.2913 0.5000
18 Br 0.5000 0.0000 0.5000
19 Br 0.5985 0.7087 0.5000
20 Br 0.6947 0.4305 0.5000
21 Br 0.8053 0.9305 0.5000
22 Br 0.9015 0.2087 0.5000
23 F 0.1227 0.3244 0.0000
24 F 0.3773 0.8244 0.0000
25 F 0.6227 0.1756 0.0000
26 F 0.8773 0.6756 0.0000

***

Record 6
Density functional theory data (PBE) for an optimized crystal structure of AgBrF.

Computed properties:
SG: Cmcm
VASP energy, eV per formula unit: -8.186
Crystal system: orthorhombic
E above lowest polymorph, meV/atom: 85
Magnetization, μB/atom: 0.000
Uncorrected formation energy, eV/atom: -0.60

a b c (Å): 6.9976 6.9976 5.0381
angles (deg): 90.00 90.00 145.09
Fractional positions:
1 Ag 0.0943 0.9057 0.7500
2 Ag 0.9057 0.0943 0.2500
3 Br 0.1448 0.8552 0.2500
4 Br 0.8552 0.1448 0.7500
5 F 0.4064 0.5936 0.2500
6 F 0.5936 0.4064 0.7500